This record from Alexandria via LeMat-Bulk describes a relaxed structure of CrIN2O. The functional is PBE+U.

Structure (POSCAR):
```
CrIN2O
1.0
3.943 0.000 0.000
0.000 3.943 0.000
0.000 0.000 3.901
I N O Cr
1 2 1 1
direct
0.500 0.500 0.500
0.000 0.500 0.000
0.500 0.000 0.000
0.000 0.000 0.500
0.000 0.000 0.000
```

Electronic total energy   -5.294 eV per atom
Fermi-level density of states   2.76 states/eV/cell
Theoretical density   6.10 g cm⁻³